(1)
The following is a DFT calculation (GGA-PBE) of an optimized crystal structure of MoAsHS2.

Unit cell a=4.834 b=3.367 c=4.834 alpha=90.00 beta=90.00 gamma=90.00
Last column: magnetic moment on the atom in μB.
Element x y z (fractional)
S  0.000  0.000  0.500  -0.05
S  0.500  0.000  0.000  -0.06
H  0.000  0.500  0.000  0.00
Mo  0.500  0.500  0.500  2.70
As  0.000  0.000  0.000  0.04

Fermi-level density of states (states/eV per cell): 2.7
Magnetic moment (μB/f.u.): 3.13
E_tot (eV/atom): -4.858



(2)
The following is a DFT calculation (GGA-PBE) of an optimized crystal structure of SiMoAs2H.

Unit cell a=4.907 b=3.553 c=4.907 alpha=90.00 beta=90.00 gamma=90.00
Element x y z (fractional)
H  0.000  0.500  0.000
Mo  0.000  0.000  0.000
Si  0.500  0.500  0.500
As  0.000  0.000  0.500
As  0.500  0.000  0.000

Fermi-level density of states (states/eV per cell): 2.8
Magnetic moment (μB/f.u.): 0.00
E_tot (eV/atom): -5.264



(3)
The following is a DFT calculation (GGA-PBE) of an optimized crystal structure of TaMoAs2H.

Unit cell a=4.941 b=5.070 c=4.941 alpha=90.00 beta=90.00 gamma=90.00
Last column: magnetic moment on the atom in μB.
Element x y z (fractional)
H  0.500  0.500  0.500  0.27
Mo  0.000  0.500  0.000  -2.39
As  0.000  0.000  0.500  0.05
As  0.500  0.000  0.000  0.01
Ta  0.000  0.000  0.000  0.21

Fermi-level density of states (states/eV per cell): 3.2
Magnetic moment (μB/f.u.): 1.91
E_tot (eV/atom): -5.679



(4)
The following is a DFT calculation (GGA-PBE) of an optimized crystal structure of Tc2MoAsH.

Unit cell a=3.954 b=3.994 c=3.954 alpha=90.00 beta=90.00 gamma=90.00
Element x y z (fractional)
As  0.500  0.500  0.500
Mo  0.000  0.500  0.000
Tc  0.000  0.000  0.500
Tc  0.500  0.000  0.000
H  0.000  0.000  0.000

Fermi-level density of states (states/eV per cell): 6.9
Magnetic moment (μB/f.u.): 0.00
E_tot (eV/atom): -7.636



(5)
The following is a DFT calculation (GGA-PBE) of an optimized crystal structure of TeMoAsH2.

Unit cell a=3.910 b=5.900 c=3.910 alpha=90.00 beta=90.00 gamma=90.00
Last column: magnetic moment on the atom in μB.
Element x y z (fractional)
H  0.000  0.000  0.500  0.01
H  0.500  0.000  0.000  0.01
Mo  0.500  0.500  0.500  2.98
Te  0.000  0.500  0.000  -0.04
As  0.000  0.000  0.000  -0.02

Fermi-level density of states (states/eV per cell): 2.7
Magnetic moment (μB/f.u.): 3.58
E_tot (eV/atom): -4.233



(6)
The following is a DFT calculation (GGA-PBE) of an optimized crystal structure of NaAsH2.

Unit cell a=4.035 b=4.035 c=4.035 alpha=60.00 beta=60.00 gamma=60.00
Element x y z (fractional)
Na  0.000  0.000  0.000
As  0.500  0.500  0.500
H  0.250  0.250  0.250
H  0.750  0.750  0.750

Fermi-level density of states (states/eV per cell): 1.1
Magnetic moment (μB/f.u.): 0.00
E_tot (eV/atom): -2.632
ΔE to the lowest computed polymorph (eV/atom): 0.5401



(7)
The following is a DFT calculation (GGA-PBE) of an optimized crystal structure of Na2AsH.

Unit cell a=4.834 b=4.834 c=4.834 alpha=60.00 beta=60.00 gamma=60.00
Last column: magnetic moment on the atom in μB.
Element x y z (fractional)
Na  0.250  0.250  0.250  0.00
Na  0.750  0.750  0.750  0.00
As  0.500  0.500  0.500  0.22
H  0.000  0.000  0.000  0.01

Fermi-level density of states (states/eV per cell): 3.3
Magnetic moment (μB/f.u.): 0.52
E_tot (eV/atom): -2.395
ΔE to the lowest computed polymorph (eV/atom): 0.5967



(8)
The following is a DFT calculation (GGA-PBE) of an optimized crystal structure of Na2AsH.

Unit cell a=4.930 b=4.901 c=6.592 alpha=131.69 beta=131.91 gamma=63.64
Element x y z (fractional)
Na  0.004  0.887  0.199
Na  0.996  0.886  0.694
As  0.500  0.387  0.938
H  0.499  0.377  0.169

Magnetic moment (μB/f.u.): 0.00
E_tot (eV/atom): -2.991
ΔE to the lowest computed polymorph (eV/atom): 0.0009